NaSbCO5 PBE optimized geometry; DFT total energy = -0.22795 Ha/atom; Fermi-level density of states = 0.00 states/eV per atom; E_form (uncorrected) = -10.2 eV/f.u.; total magnetic moment = 0.0 μB/f.u.
1.0
-4.6583 2.3208 -0.7784
-1.1742 -5.1292 -0.0570
1.8961 1.5286 6.6294
O C Sb Na
10 2 2 2
Cartesian
-1.0279 -4.0463 1.5325
-0.5283 -0.6437 3.7162
-2.6105 1.5110 1.7933
0.2858 -1.8908 5.5115
-2.9085 2.7665 4.2616
-3.4082 -0.6362 2.0779
-1.8840 -1.1038 5.5119
-4.2222 0.6110 0.2826
-2.0524 -0.1760 0.2822
-1.3259 -2.7908 4.0008
-0.8466 -1.6426 4.6885
-3.0899 0.3628 1.1056
0.9480 0.7643 3.3147
0.0000 0.0000 0.0000
-2.0177 0.8617 4.4460
-1.9187 -2.1415 1.3481

=====

NaSiSbCO7 PBE optimized geometry; DFT total energy = -0.24962 Ha/atom; Fermi-level density of states = 0.00 states/eV per atom; E_form (uncorrected) = -19.9 eV/f.u.; total magnetic moment = 0.1 μB/f.u.
1.0
6.4939 0.0000 0.0000
0.0000 5.3173 -0.0849
0.0000 0.2784 9.6137
C O Na Si Sb
2 14 2 2 2
Cartesian
1.6255 1.9346 8.6870
4.8725 3.6611 0.8419
0.3074 4.3326 3.1918
1.6175 0.6789 8.1937
4.8188 3.6464 9.2654
4.9348 2.7607 1.8521
1.6373 4.8057 5.5280
1.5719 1.9494 0.2635
4.8842 0.7901 4.0009
4.7884 3.2511 4.9911
2.8585 4.2597 3.1571
6.1055 1.3360 6.3718
1.6879 2.8350 7.6768
4.8645 4.9168 1.3352
3.5543 1.2631 6.3371
1.5415 2.3446 4.5377
0.2492 1.1293 1.8887
3.4961 4.4664 7.6402
1.5911 3.9495 4.1336
4.8380 1.6463 5.3953
4.8077 4.2516 3.2954
1.5608 1.3441 6.2335

=====

Na3SiSbCO7 PBE optimized geometry; DFT total energy = -0.23207 Ha/atom; Fermi-level density of states = 0.00 states/eV per atom; E_form (uncorrected) = -24.7 eV/f.u.; total magnetic moment = 0.0 μB/f.u.
1.0
-3.9462 5.6551 1.3413
0.0191 -1.1785 5.0249
7.8982 5.1265 1.6226
Si O Na Sb C
2 14 6 2 2
Cartesian
3.6848 3.5877 4.9132
0.2863 6.0155 3.0757
5.1359 2.8904 5.2492
4.1862 8.2861 4.9762
6.2527 5.8321 3.0052
3.6616 5.0031 5.7503
-0.2151 1.3171 3.0126
-1.1648 6.7127 2.7397
3.8723 7.5633 7.0998
3.5869 3.9045 3.2894
0.3095 4.6000 2.2386
0.3843 5.6987 4.6995
0.0989 2.0398 0.8891
1.5704 7.0134 2.6462
-2.2816 3.7710 4.9836
2.4007 2.5898 5.3426
5.8797 3.5686 2.4569
-1.9086 6.0345 5.5320
6.1494 5.1182 5.7112
0.0207 3.2698 4.8762
3.9505 6.3334 3.1126
-2.1783 4.4849 2.2777
1.8795 2.9819 2.1558
2.0916 6.6212 5.8330
-0.5894 1.3491 1.7764
4.5606 8.2541 6.2125

=====

Na2SiSbCO7 PBE optimized geometry; DFT total energy = -0.23923 Ha/atom; Fermi-level density of states = 0.22 states/eV per atom; E_form (uncorrected) = -22.0 eV/f.u.; total magnetic moment = 0.0 μB/f.u.
1.0
-4.5327 -0.6178 -5.0100
0.6436 -5.2776 0.0685
-6.8507 -0.8413 6.3018
Na O C Sb Si
4 14 2 2 2
Cartesian
-3.3601 -4.5058 -1.0981
-5.5276 -4.8012 -3.4938
-7.3797 -2.2309 2.4584
-5.2122 -1.9355 4.8542
-4.8248 -2.7533 2.4079
-4.6774 -1.5920 -0.6814
-3.4409 -4.8601 1.4156
-3.3138 -4.2563 -3.3673
-8.6220 -6.1796 1.6723
-7.4260 -2.4804 4.7277
-6.0624 -5.1447 2.0418
-8.7781 -3.9669 1.5408
-6.4346 -1.8315 -2.6236
-7.2989 -1.8766 -0.0553
-5.9150 -3.9834 -1.0476
-4.3052 -4.9052 3.9840
-2.1178 -0.5571 -0.3120
-1.9617 -2.7697 -0.1804
-9.2374 -5.0780 2.0933
-1.5024 -1.6587 -0.7329
-7.2384 -5.1823 0.2976
-3.5014 -1.5544 1.0628
-4.6556 -4.3995 2.4578
-6.0842 -2.3371 -1.0975